Computed, not measured: CdInHg2Pb2 after structural relaxation at the PBE level of DFT.

## Properties
Symmetry ... Pmc2_1, No. 26
Calculated formation energy ... 25 meV/atom
E_tot ... -1.921 eV per atom

Unit cell a=4.742 b=9.823 c=7.107 alpha=90.00 beta=90.00 gamma=90.00
Sites, in units of the cell vectors:
1 Cd 0.000 0.188 0.000
2 Cd 0.000 0.812 0.500
3 In 0.500 0.030 0.295
4 In 0.500 0.970 0.795
5 Hg 0.000 0.116 0.554
6 Hg 0.000 0.884 0.054
7 Hg 0.500 0.329 0.173
8 Hg 0.500 0.671 0.673
9 Pb 0.000 0.479 0.413
10 Pb 0.000 0.521 0.913
11 Pb 0.500 0.316 0.680
12 Pb 0.500 0.684 0.180

---

Computed, not measured: Cd2In2Hg4Pb after structural relaxation at the PBE level of DFT.

## Properties
Symmetry ... C2/m, No. 12
Calculated formation energy ... 35 meV/atom
E_tot ... -1.323 eV per atom

Unit cell a=7.490 b=7.490 c=8.488 alpha=101.52 beta=101.52 gamma=31.02
Sites, in units of the cell vectors:
1 Cd 0.169 0.169 0.461
2 Cd 0.831 0.831 0.539
3 In 0.368 0.368 0.884
4 In 0.632 0.632 0.116
5 Hg 0.030 0.030 0.821
6 Hg 0.299 0.299 0.211
7 Hg 0.701 0.701 0.789
8 Hg 0.970 0.970 0.179
9 Pb 0.500 0.500 0.500

---

Computed, not measured: Cd2In2Hg3Pb2 after structural relaxation at the PBE level of DFT.

## Properties
Symmetry ... I4/mmm, No. 139
Calculated formation energy ... 93 meV/atom
E_tot ... -1.643 eV per atom

Unit cell a=8.758 b=8.758 c=8.758 alpha=141.56 beta=141.56 gamma=55.49
Sites, in units of the cell vectors:
1 Cd 0.000 0.500 0.500
2 Cd 0.500 0.000 0.500
3 In 0.185 0.185 0.000
4 In 0.815 0.815 0.000
5 Hg 0.000 0.000 0.000
6 Hg 0.250 0.750 0.500
7 Hg 0.750 0.250 0.500
8 Pb 0.392 0.392 0.000
9 Pb 0.608 0.608 0.000

---

Computed, not measured: CdIn2Hg5Pb after structural relaxation at the PBE level of DFT.

## Properties
Symmetry ... Cmc2_1, No. 36
Calculated formation energy ... 26 meV/atom
E_tot ... -1.264 eV per atom

Unit cell a=9.949 b=9.949 c=14.941 alpha=90.00 beta=90.00 gamma=160.92
Sites, in units of the cell vectors:
1 Cd 0.223 0.777 0.500
2 Cd 0.777 0.223 0.000
3 In 0.368 0.632 0.178
4 In 0.369 0.631 0.826
5 In 0.631 0.369 0.326
6 In 0.632 0.368 0.678
7 Hg 0.042 0.958 0.153
8 Hg 0.068 0.932 0.508
9 Hg 0.208 0.792 0.161
10 Hg 0.208 0.792 0.840
11 Hg 0.382 0.618 0.500
12 Hg 0.618 0.382 0.000
13 Hg 0.792 0.208 0.340
14 Hg 0.792 0.208 0.661
15 Hg 0.932 0.068 0.008
16 Hg 0.958 0.042 0.653
17 Pb 0.032 0.968 0.839
18 Pb 0.968 0.032 0.339

---

> Among the records above, which one has the highest E_tot?

CdIn2Hg5Pb

---

> Look up the E_tot of the first one.

-1.921 eV per atom

---

> The lowest calculated formation energy belongs to which entry?

CdInHg2Pb2

---

> Among the records above, which one has the highest E_tot?

CdIn2Hg5Pb